# 1
Compound: RbCrPAu
Source: Alexandria via LeMat-Bulk
Functional: PBE-GGA
Structure: optimized geometry

POSCAR file:
```
RbCrPAu
1.0
-3.9518 -0.4380 -0.0131
0.4141 -3.6938 -1.4117
0.4565 -4.4731 11.8381
Rb Cr P Au
2 2 2 2
Direct
0.7500 0.7500 0.2657
0.2500 0.2500 0.7343
0.7500 0.2500 0.0000
0.2500 0.7500 0.0000
0.7500 0.7500 0.9046
0.2500 0.2500 0.0954
0.2500 0.7500 0.5000
0.7500 0.2500 0.5000
```

Output
The energy of formation from the pure elements is -1.30 eV/f.u. Its calculated volume is 200 Å³ per cell. For the total DFT energy (no corrections), the calculation gives -5.145 eV/atom.


# 2
Compound: SrBeHg
Source: Alexandria via LeMat-Bulk
Functional: PBE-GGA
Structure: optimized geometry

POSCAR file:
```
SrBeHg
1.0
-2.8186 -1.5903 5.2233
0.0035 -3.7463 4.8746
1.6634 1.7315 2.6399
Sr Hg Be
1 1 1
Direct
0.6635 0.6635 0.3365
0.3776 0.3776 0.6224
0.9589 0.9589 0.0411
```

Output
The energy of formation from the pure elements is 0.47 eV/f.u. Its calculated volume is 71 Å³ per cell. For the total DFT energy (no corrections), the calculation gives -1.748 eV/atom.


# 3
Compound: Ac4Sb2SeI
Source: Alexandria via LeMat-Bulk
Functional: PBE-GGA
Structure: optimized geometry

POSCAR file:
```
Ac4Sb2SeI
1.0
-3.7350 1.7675 -2.3042
-0.0654 -6.3822 -4.7899
-4.8189 -5.9112 3.2766
Ac Sb Se I
4 2 1 1
Direct
0.0000 0.7584 0.7318
0.0000 0.2417 0.2682
0.5000 0.7486 0.2647
0.5000 0.2514 0.7353
0.0000 0.0000 0.0000
0.5000 0.0000 0.5000
0.0000 0.5000 0.5000
0.5000 0.5000 0.0000
```

Output
Its calculated volume is 295 Å³ per cell. For the total DFT energy (no corrections), the calculation gives -5.026 eV/atom.


# 4
Compound: Ti2V2W
Source: Alexandria via LeMat-Bulk
Functional: PBE-GGA
Structure: optimized geometry

POSCAR file:
```
Ti2V2W
1.0
-4.2284 -2.5925 -4.5926
-1.0370 -5.3629 3.9820
-2.6320 1.6265 1.5051
V W Ti
4 2 4
Direct
0.3599 0.8599 0.0000
0.8599 0.6401 0.0000
0.6401 0.1401 0.0000
0.1401 0.3599 0.0000
0.0000 0.0000 0.0000
0.5000 0.5000 0.0000
0.1650 0.6650 0.5000
0.6650 0.8350 0.5000
0.8350 0.3350 0.5000
0.3350 0.1650 0.5000
```

Output
The energy of formation from the pure elements is 1.38 eV/f.u. Its calculated volume is 157 Å³ per cell. For the total DFT energy (no corrections), the calculation gives -9.120 eV/atom.


# 5
Compound: InH2PdPt
Source: Alexandria via LeMat-Bulk
Functional: PBE-GGA
Structure: optimized geometry

POSCAR file:
```
InH2PdPt
1.0
-2.3062 2.8014 0.4693
-2.7028 -2.8559 3.7655
2.1838 1.3621 2.6005
H Pd Pt In
2 1 1 1
Direct
0.0000 0.0000 0.5000
0.5000 0.0000 0.0000
0.5000 0.5000 0.5000
0.0000 0.0000 0.0000
0.0000 0.5000 0.0000
```

Output
Its calculated volume is 73 Å³ per cell. For the total DFT energy (no corrections), the calculation gives -4.006 eV/atom.


# 6
Compound: Cd2NiPd8
Source: Alexandria via LeMat-Bulk
Functional: PBE-GGA
Structure: optimized geometry

POSCAR file:
```
Cd2NiPd8
1.0
3.9833 -0.0004 0.7195
-0.2639 6.1218 1.4646
0.7268 0.2954 7.3626
Cd Ni Pd
2 1 8
Direct
0.2755 0.3542 0.4178
0.7236 0.6464 0.5216
0.9995 0.0003 0.9697
0.9113 0.5587 0.1461
0.1740 0.9078 0.6207
0.3656 0.8269 0.2376
0.4582 0.2707 0.0524
0.6335 0.1736 0.7018
0.8250 0.0927 0.3187
0.0877 0.4418 0.7933
0.5409 0.7298 0.8870
```

Output
The energy of formation from the pure elements is -1.55 eV/f.u. Its calculated volume is 175 Å³ per cell. For the total DFT energy (no corrections), the calculation gives -4.609 eV/atom.


# 7
Compound: SnAsCl2
Source: Alexandria via LeMat-Bulk
Functional: PBE-GGA
Structure: optimized geometry

POSCAR file:
```
SnAsCl2
1.0
-2.4844 3.5637 -1.2422
-3.7729 -2.3815 0.7136
-3.3212 3.5852 8.7106
As Sn Cl
2 2 4
Direct
0.5000 0.5000 0.0000
0.2500 0.7500 0.5000
0.0000 0.0000 0.0000
0.7500 0.2500 0.5000
0.6126 0.1250 0.2500
0.1374 0.6250 0.2500
0.3750 0.3874 0.7500
0.8750 0.8626 0.7500
```

Output
Its calculated volume is 193 Å³ per cell. For the total DFT energy (no corrections), the calculation gives -3.251 eV/atom.


# 8
Compound: Hf3AgSb
Source: Alexandria via LeMat-Bulk
Functional: PBE-GGA
Structure: optimized geometry

POSCAR file:
```
Hf3AgSb
1.0
-1.2933 -0.3050 4.9071
-3.2598 -3.7452 -1.0919
3.6805 -3.4242 0.7572
Sb Hf Ag
1 3 1
Direct
0.5000 0.5000 0.5000
0.0000 0.5000 0.0000
0.0000 0.0000 0.5000
0.5000 0.0000 0.0000
0.0000 0.0000 0.0000
```

Output
Its calculated volume is 131 Å³ per cell. For the total DFT energy (no corrections), the calculation gives -6.613 eV/atom.